Material: Te2RuIBr
Method: DFT, PBE
State: relaxed

Lattice parameters (Å, degrees): 5.168 5.168 5.590 90.00 90.00 90.00
Space group P4/mmm (No. 123)
Symmetry-distinct sites (fractional):
Te: 0.000 0.500 0.000
Ru: 0.000 0.000 0.000
I: 0.000 0.000 0.500
Br: 0.500 0.500 0.500

Energy   -3.396 eV per atom
Magnetization   0.00 Bohr magnetons per cell
Calculated volume   149 Å³/f.u.
ρ   6.3 g/cm³
Crystal system   tetragonal